*1*
A relaxed structure of YEr2Tc. Source: Alexandria, functional GGA-PBE.

Results
DOS(E_F) = 1.53 states/eV/atom

Cell lengths 3.4110, 3.4110, 32.4745 Å; angles 90.00, 90.00, 120.00 degrees
Last column: nearest neighbours and their distance in Å.
Space group R-3m (No. 166, hexagonal axes)
One atom of each set of equivalent atoms:
Y  0.0000  0.0000  0.0000 x3  2 Er 3.41, 6 Y 3.41
Er  0.0000  0.0000  0.1050 x6  3 Tc 2.81
Tc  0.0000  0.0000  0.5000 x3  6 Er 2.81

***

*2*
A relaxed structure of YEr2Tc. Source: Alexandria, functional GGA-PBE.

Results
DOS(E_F) = 1.53 states/eV/atom

Cell lengths 3.4408, 3.4408, 8.8219 Å; angles 90.00, 90.00, 90.00 degrees
Last column: nearest neighbours and their distance in Å.
Space group P4/mmm (No. 123)
One atom of each set of equivalent atoms:
Y  0.0000  0.0000  0.0000 x1  4 Y 3.44, 8 Er 3.70
Er  0.5000  0.5000  0.3160 x2  4 Tc 2.93, 1 Er 3.25
Tc  0.0000  0.0000  0.5000 x1  8 Er 2.93

***

*3*
A relaxed structure of YEr2Tc. Source: Alexandria, functional GGA-PBE.

Results
DOS(E_F) = 0.81 states/eV/atom

Cell lengths 7.4960, 9.0394, 6.1885 Å; angles 90.00, 90.00, 90.00 degrees
Last column: nearest neighbours and their distance in Å.
Space group Pnma (No. 62)
One atom of each set of equivalent atoms:
Y  0.0405  0.2500  0.1251 x4  2 Tc 2.80-2.89
Er  0.1752  0.0630  0.6524 x8  3 Tc 2.83-3.13
Tc  0.1162  0.7500  0.4483 x4  2 Y 2.80-2.89, 6 Er 2.83-3.13

***

*4*
A relaxed structure of YEr2Tc. Source: Alexandria, functional GGA-PBE.

Results
DOS(E_F) = 0.92 states/eV/atom

Cell lengths 3.9068, 11.8224, 9.0817 Å; angles 90.00, 90.00, 90.00 degrees
Last column: nearest neighbours and their distance in Å.
Space group Cmcm (No. 63)
One atom of each set of equivalent atoms:
Y  0.0000  0.0707  0.2500 x4  2 Tc 2.81
Er  0.0000  0.3549  0.0655 x8  3 Tc 2.90-3.08
Tc  0.0000  0.2589  0.7500 x4  2 Y 2.81, 6 Er 2.90-3.08

***

*3* is preferred energetically. Next in line: 0.006 eV/atom higher.

***

*1*
A relaxed structure of Er7Tl2Te2. Source: Alexandria, functional GGA-PBE.

Results
DOS(E_F) = 0.87 states/eV/atom

Cell lengths 11.0301, 8.4966, 7.2397 Å; angles 90.00, 100.13, 90.00 degrees
Last column: nearest neighbours and their distance in Å.
Space group C2/m (No. 12)
One atom of each set of equivalent atoms:
Er  0.0000  0.0000  0.0000 x2  2 Te 3.16, 4 Er 3.41
Er  0.0107  0.5000  0.2691 x4  2 Te 3.03-3.15, 2 Tl 3.20, 1 Er 3.39
Er  0.2327  0.1995  0.2744 x8  2 Te 3.01-3.02, 2 Tl 3.27-3.28, 1 Er 3.33
Tl  0.0000  0.1800  0.5000 x4  1 Tl 3.06, 6 Er 3.20-3.28
Te  0.2220  0.5000  0.0522 x4  7 Er 3.01-3.16

***

*2*
A relaxed structure of Er7Tl2Te2. Source: Alexandria, functional GGA-PBE.

Results
DOS(E_F) = 0.89 states/eV/atom

Cell lengths 4.4541, 14.8382, 9.5678 Å; angles 90.00, 90.00, 90.00 degrees
Last column: nearest neighbours and their distance in Å.
Space group Imm2 (No. 44)
One atom of each set of equivalent atoms:
Er  0.0000  0.0000  0.0000 x2  3 Te 3.34, 2 Tl 3.52, 4 Er 3.65
Er  0.0000  0.1265  0.6066 x4  2 Tl 3.08, 3 Te 3.10-3.18
Er  0.0000  0.3185  0.3895 x4  3 Tl 3.00-3.19, 1 Te 3.05
Er  0.0000  0.3612  0.7642 x4  2 Tl 3.13, 2 Te 3.14
Tl  0.0000  0.2312  0.0846 x4  7 Er 3.00-3.19
Te  0.0000  0.0000  0.3491 x2  7 Er 3.10-3.34
Te  0.0000  0.5000  0.2396 x2  8 Er 3.05-3.34

***

*2* is preferred energetically. Next in line: 0.266 eV/atom higher.

***

*1*
A relaxed structure of Er5Tl2Te. Source: Alexandria, functional GGA-PBE.

Results
DOS(E_F) = 0.74 states/eV/atom

Cell lengths 8.3575, 12.1691, 4.5216 Å; angles 90.00, 90.00, 90.00 degrees
Last column: nearest neighbours and their distance in Å.
Space group Pbam (No. 55)
One atom of each set of equivalent atoms:
Er  0.0000  0.0000  0.0000 x2  4 Tl 3.18, 4 Er 3.43
Er  0.1616  0.2798  0.0000 x4  1 Te 3.00, 4 Tl 3.20-3.26
Er  0.2117  0.5756  0.5000 x4  2 Te 3.01, 2 Tl 3.23-3.27
Tl  0.0747  0.8236  0.5000 x4  9 Er 3.18-3.55
Te  0.0000  0.5000  0.0000 x2  6 Er 3.00-3.01

***

*2*
A relaxed structure of Er5Tl2Te. Source: Alexandria, functional GGA-PBE.

Results
DOS(E_F) = 0.98 states/eV/atom

Cell lengths 7.5645, 7.5645, 7.7653 Å; angles 90.00, 90.00, 90.00 degrees
Last column: nearest neighbours and their distance in Å.
Space group I4mm (No. 107)
One atom of each set of equivalent atoms:
Er  0.0000  0.0000  0.0000 x2  1 Te 3.07, 8 Er 3.29-3.36
Er  0.2337  0.2337  0.7115 x8  2 Te 3.19-3.51, 4 Tl 3.24-3.38, 4 Er 3.29-3.53
Tl  0.0000  0.5000  0.4775 x4  8 Er 3.24-3.38
Te  0.0000  0.0000  0.3950 x2  5 Er 3.07-3.19

***

*1* is preferred energetically. Next in line: 0.151 eV/atom higher.

***

*1*
A relaxed structure of Er4TlTe3. Source: Alexandria, functional GGA-PBE.

Results
DOS(E_F) = 0.15 states/eV/atom

Cell lengths 7.5244, 8.7218, 7.5255 Å; angles 90.00, 109.49, 90.00 degrees
Last column: nearest neighbours and their distance in Å.
Space group P2/c (No. 13)
One atom of each set of equivalent atoms:
Er  0.2385  0.1190  0.0004 x4  2 Tl 3.00-3.01, 4 Te 3.09-3.17
Er  0.2407  0.3659  0.4906 x4  1 Tl 2.97, 5 Te 3.07-3.17
Tl  0.0000  0.1247  0.2500 x2  6 Er 2.97-3.01
Te  0.0000  0.3764  0.7500 x2  6 Er 3.07-3.09
Te  0.5000  0.1273  0.7500 x2  6 Er 3.07-3.15
Te  0.5000  0.3791  0.2500 x2  6 Er 3.07-3.17

***

*2*
A relaxed structure of Er4TlTe3. Source: Alexandria, functional GGA-PBE.

Results
DOS(E_F) = 0.37 states/eV/atom

Cell lengths 8.7604, 12.3080, 4.3145 Å; angles 90.00, 90.00, 90.00 degrees
Last column: nearest neighbours and their distance in Å.
Space group Cmmm (No. 65)
One atom of each set of equivalent atoms:
Er  0.0000  0.2418  0.0000 x4  1 Tl 2.98, 5 Te 3.08-3.18
Er  0.2388  0.0000  0.5000 x4  2 Tl 3.00, 4 Te 3.08-3.14
Tl  0.0000  0.0000  0.0000 x2  6 Er 2.98-3.00
Te  0.0000  0.5000  0.0000 x2  6 Er 3.14-3.18
Te  0.2500  0.2500  0.5000 x4  6 Er 3.08

***

*1* is preferred energetically. Next in line: 0.009 eV/atom higher.

***

*1*
A relaxed structure of Er3TlTe2. Source: Alexandria, functional GGA-PBE.

Results
DOS(E_F) = 0.19 states/eV/atom

Cell lengths 4.2216, 6.1462, 13.4028 Å; angles 90.00, 90.00, 90.00 degrees
Last column: nearest neighbours and their distance in Å.
Space group Immm (No. 71)
One atom of each set of equivalent atoms:
Er  0.0000  0.0000  0.0000 x2  2 Tl 3.07, 4 Te 3.10
Er  0.0000  0.0000  0.3371 x4  2 Tl 3.04, 4 Te 3.07-3.08
Tl  0.0000  0.5000  0.0000 x2  6 Er 3.04-3.07
Te  0.0000  0.5000  0.3307 x4  6 Er 3.07-3.10

***

*2*
A relaxed structure of Er3TlTe2. Source: Alexandria, functional GGA-PBE.

Results
DOS(E_F) = 0.40 states/eV/atom

Cell lengths 6.1448, 13.0857, 8.6568 Å; angles 90.00, 90.02, 90.00 degrees
Last column: nearest neighbours and their distance in Å.
Space group P2_1/c (No. 14)
One atom of each set of equivalent atoms:
Er  0.2494  0.0806  0.1196 x4  3 Tl 3.05-3.07, 3 Te 3.09-3.11
Er  0.2499  0.0797  0.6379 x4  1 Tl 3.00, 5 Te 3.08-3.12
Er  0.2508  0.7504  0.1251 x4  2 Tl 3.03-3.04, 4 Te 3.06-3.10
Tl  0.2507  0.5875  0.3751 x4  6 Er 3.00-3.07
Te  0.2492  0.2440  0.3769 x4  6 Er 3.07-3.12
Te  0.2501  0.5823  0.8788 x4  6 Er 3.06-3.10

***

*1* is preferred energetically. Next in line: 0.019 eV/atom higher.

***

*1*
A relaxed structure of Er3Tm2Te6. Source: Alexandria, functional GGA-PBE.

Results
DOS(E_F) = 0.44 states/eV/atom

Cell lengths 4.3225, 4.3225, 64.0637 Å; angles 90.00, 90.00, 120.00 degrees
Last column: nearest neighbours and their distance in Å.
Space group R-3m (No. 166, hexagonal axes)
One atom of each set of equivalent atoms:
Er  0.0000  0.0000  0.0000 x3  6 Te 3.05
Er  0.0000  0.0000  0.2793 x6  6 Te 3.03-3.10
Tm  0.0000  0.0000  0.4467 x6  6 Te 2.95-3.18
Te  0.0000  0.0000  0.0827 x6  3 Er 3.10, 3 Tm 3.18
Te  0.0000  0.0000  0.1953 x6  3 Tm 2.95
Te  0.0000  0.0000  0.3606 x6  6 Er 3.03-3.05

***

*2*
A relaxed structure of Er3Tm2Te6. Source: Alexandria, functional GGA-PBE.

Results
DOS(E_F) = 0.44 states/eV/atom

Cell lengths 7.4425, 12.8167, 7.4187 Å; angles 90.00, 109.58, 90.00 degrees
Last column: nearest neighbours and their distance in Å.
Space group C2/m (No. 12)
One atom of each set of equivalent atoms:
Er  0.0000  0.0000  0.0000 x2  6 Te 3.04-3.12
Er  0.0000  0.3298  0.0000 x4  6 Te 3.04-3.09
Tm  0.0000  0.1639  0.5000 x4  6 Te 3.01-3.04
Te  0.2413  0.3382  0.7412 x8  3 Er 3.04-3.09, 2 Tm 3.04
Te  0.2416  0.5000  0.2556 x4  2 Tm 3.01, 3 Er 3.05-3.12

***

*2* is preferred energetically. Next in line: 0.079 eV/atom higher.